Below is a PBEsol-optimized structure of Co4Rh, with properties calculated at the SCAN level.

The calculated volume comes out at 111.7 Å³ per cell. Its formation enthalpy at 0 K is 0.07 eV per atom. The value obtained for the total magnetization is 8.088 μB/f.u. As for the total energy: -102.66 eV/f.u.

The space group is Immm (No. 71) and the conventional cell measures 2.515, 3.973 and 11.182 Å, with angles of 90.00, 90.00 and 90.00 degrees. Symmetry generates all atoms from Co at (0.000, 0.000, 0.102), Co at (0.000, 0.500, 0.212) and Rh at (0.000, 0.000, 0.500).